Ca4La: relaxed, PBE. Values from VASP.

Output
crystal system	tetragonal
ΔE to the lowest computed polymorph	294	meV/atom
mass density	2.28	g/cm³
D(E_F)	8.0	states/eV/cell
formation energy	0.326	eV/atom

Structure (Quantum ESPRESSO input):
```
&SYSTEM
  ibrav = 0, nat = 5, ntyp = 2
/
ATOMIC_SPECIES
La 138.91 La.upf
Ca 40.08 Ca.upf
CELL_PARAMETERS angstrom
-2.424 2.424 9.276
2.424 -2.424 9.276
2.424 2.424 -9.276
ATOMIC_POSITIONS angstrom
La 0.000 0.000 0.000
Ca 2.424 0.000 4.638
Ca 0.000 2.424 4.638
Ca 0.000 0.000 7.502
Ca 0.000 0.000 11.051
```

=====

SrPdSe: relaxed, PBE. Values from VASP.

Output
crystal system	triclinic
mass density	5.70	g/cm³
D(E_F)	0.0	states/eV/cell
E_form (uncorrected)	-3.444	eV/f.u.

Structure (Quantum ESPRESSO input):
```
&SYSTEM
  ibrav = 0, nat = 6, ntyp = 3
/
ATOMIC_SPECIES
Se 78.96 Se.upf
Pd 106.42 Pd.upf
Sr 87.62 Sr.upf
CELL_PARAMETERS angstrom
-0.770 3.546 -2.882
-4.627 -0.984 -3.701
-4.475 6.148 1.345
ATOMIC_POSITIONS angstrom
Se -8.167 6.949 -4.606
Se -2.957 3.676 -2.557
Pd -6.963 5.397 -3.111
Pd -3.391 1.683 -1.168
Sr -5.456 2.143 -3.775
Sr -4.898 4.937 -0.506
```

=====

Hf2ZnPb2: relaxed, PBE. Values from VASP.

Output
crystal system	tetragonal
ΔE to the lowest computed polymorph	0	meV/atom
mass density	11.79	g/cm³
D(E_F)	7.0	states/eV/cell
formation energy	0.121	eV/atom

Structure (Quantum ESPRESSO input):
```
&SYSTEM
  ibrav = 0, nat = 10, ntyp = 3
/
ATOMIC_SPECIES
Zn 65.41 Zn.upf
Hf 178.49 Hf.upf
Pb 207.20 Pb.upf
CELL_PARAMETERS angstrom
7.282 0.000 0.000
0.000 7.282 0.000
0.000 0.000 4.446
ATOMIC_POSITIONS angstrom
Zn 3.641 3.641 0.000
Hf 4.744 1.103 0.000
Pb 4.808 6.116 2.223
Hf 6.179 4.744 0.000
Pb 1.167 4.808 2.223
Zn 0.000 0.000 0.000
Pb 2.474 1.167 2.223
Hf 2.538 6.179 0.000
Hf 1.103 2.538 0.000
Pb 6.116 2.474 2.223
```

=====

> The highest D(E_F) belongs to which entry?

Ca4La